Density functional theory data (PBE with a Hubbard U) for an optimized crystal structure of CoMoO3.

a b c (Å): 3.675 3.675 3.675
angles (deg): 90.00 90.00 90.00
Element x y z (fractional)
Co 0.000 0.000 0.000
Mo 0.500 0.500 0.500
O 0.000 0.000 0.500
O 0.000 0.500 0.000
O 0.500 0.000 0.000

space-group type	No. 221
uncorrected energy	-29.19	eV/cell
calculated volume	9.927	Å³ per atom